w | Here is a relaxed structure of MgTiTl3 from the Alexandria database. Energies are from PBE.

Unit cell a=5.4425 b=5.4425 c=5.4425 alpha=90.00 beta=90.00 gamma=90.00
Each line ends with the local moment (μB).
Sites, in units of the cell vectors:
Tl1 0.0000 0.0000 0.5000  0.03
Tl2 0.0000 0.5000 0.0000  0.04
Mg1 0.5000 0.5000 0.5000  0.00
Ti1 0.0000 0.0000 0.0000  0.46
Tl3 0.5000 0.0000 0.0000  0.02

Values from the calculation:
The value obtained for the size of the total moment is 0.73 μB per cell. The density of states at the Fermi level comes out at 4.823 states/eV/f.u. As for the space group: No. 221.

x | Here is a relaxed structure of MgTiTl3 from the Alexandria database. Energies are from PBE.

Unit cell a=5.3090 b=5.3090 c=5.3090 alpha=90.00 beta=90.00 gamma=90.00
Sites, in units of the cell vectors:
Tl1 0.5000 0.0000 0.0000
Mg1 0.0000 0.0000 0.0000
Ti1 0.5000 0.5000 0.5000
Tl2 0.0000 0.5000 0.0000
Tl3 0.0000 0.0000 0.5000

Values from the calculation:
The value obtained for the size of the total moment is 0.00 μB per cell. The density of states at the Fermi level comes out at 6.785 states/eV/f.u. As for the space group: No. 221.

Relative stability in meV/atom, measured from the most stable structure: w 0; x 366

w | Here is a relaxed structure of MgTi2Tl2 from the Alexandria database. Energies are from PBE.

Unit cell a=7.5688 b=7.5688 c=3.7079 alpha=90.00 beta=90.00 gamma=90.00
Sites, in units of the cell vectors:
Ti1 0.8316 0.3316 0.5000
Tl1 0.3639 0.8639 0.0000
Ti2 0.3316 0.1684 0.5000
Tl2 0.8639 0.6361 0.0000
Mg1 0.0000 0.0000 0.0000
Ti3 0.1684 0.6684 0.5000
Mg2 0.5000 0.5000 0.0000
Tl3 0.6361 0.1361 0.0000
Tl4 0.1361 0.3639 0.0000
Ti4 0.6684 0.8316 0.5000

Values from the calculation:
The value obtained for the size of the total moment is 0.00 μB per cell. The density of states at the Fermi level comes out at 5.080 states/eV/f.u. As for the space group: No. 127.

x | Here is a relaxed structure of MgTi2Tl2 from the Alexandria database. Energies are from PBE.

Unit cell a=8.2084 b=8.2084 c=3.2521 alpha=90.00 beta=90.00 gamma=90.00
Each line ends with the local moment (μB).
Sites, in units of the cell vectors:
Ti1 0.8883 0.6117 0.0000  0.37
Tl1 0.3135 0.1865 0.5000  -0.01
Ti2 0.6117 0.1117 0.0000  0.38
Tl2 0.8135 0.3135 0.5000  -0.01
Tl3 0.1865 0.6865 0.5000  -0.01
Ti3 0.1117 0.3883 0.0000  0.37
Tl4 0.6865 0.8135 0.5000  -0.01
Ti4 0.3883 0.8883 0.0000  0.38
Mg1 0.5000 0.5000 0.0000  0.00
Mg2 0.0000 0.0000 0.0000  0.00

Values from the calculation:
The value obtained for the size of the total moment is 1.68 μB per cell. The density of states at the Fermi level comes out at 3.749 states/eV/f.u. As for the space group: No. 127.

Relative stability in meV/atom, measured from the most stable structure: w 22; x 0

w | Here is a relaxed structure of Mg6TiV from the Alexandria database. Energies are from PBE.

Unit cell a=6.2687 b=6.2687 c=5.0040 alpha=90.00 beta=90.00 gamma=122.70
Each line ends with the local moment (μB).
Sites, in units of the cell vectors:
Mg1 0.1759 0.8241 0.5000  0.01
Mg2 0.3271 0.1719 0.0000  -0.01
Mg3 0.6801 0.3199 0.5000  0.00
V1 0.8301 0.1699 0.0000  2.41
Mg4 0.6660 0.8344 0.5000  0.00
Mg5 0.8281 0.6729 0.0000  -0.01
Mg6 0.1656 0.3340 0.5000  0.00
Ti1 0.3270 0.6730 0.0000  0.77

Values from the calculation:
The value obtained for the size of the total moment is 4.16 μB per cell. The density of states at the Fermi level comes out at 5.890 states/eV/f.u. As for the space group: No. 38.

x | Here is a relaxed structure of Mg6TiV from the Alexandria database. Energies are from PBE.

Unit cell a=6.2991 b=6.2991 c=4.8512 alpha=90.00 beta=90.00 gamma=121.62
Each line ends with the local moment (μB).
Sites, in units of the cell vectors:
Mg1 0.8382 0.6797 0.5000  -0.01
Mg2 0.8320 0.1680 0.5000  0.00
Mg3 0.6704 0.3296 0.0000  -0.01
Mg4 0.6618 0.8222 0.0000  -0.01
Mg5 0.3203 0.1618 0.5000  -0.01
Mg6 0.1778 0.3382 0.0000  -0.01
V1 0.1859 0.8141 0.0000  2.07
Ti1 0.3136 0.6864 0.5000  0.36

Values from the calculation:
The value obtained for the size of the total moment is 2.84 μB per cell. The density of states at the Fermi level comes out at 6.221 states/eV/f.u. As for the space group: No. 38.

Relative stability in meV/atom, measured from the most stable structure: w 32; x 0

w | Here is a relaxed structure of MgTiV from the Alexandria database. Energies are from PBE.

Unit cell a=3.1952 b=3.1952 c=5.6894 alpha=106.31 beta=106.31 gamma=90.00
Each line ends with the local moment (μB).
Sites, in units of the cell vectors:
Mg1 0.3398 0.3398 0.6796  0.01
V1 0.0155 0.0155 0.0310  1.43
Ti1 0.6447 0.6447 0.2894  0.20

Values from the calculation:
The value obtained for the size of the total moment is 2.02 μB per cell. The density of states at the Fermi level comes out at 3.933 states/eV/f.u. As for the space group: No. 107.

x | Here is a relaxed structure of MgTiV from the Alexandria database. Energies are from PBE.

Unit cell a=2.9903 b=2.9903 c=12.7228 alpha=96.75 beta=96.75 gamma=90.00
Sites, in units of the cell vectors:
Mg1 0.5623 0.5623 0.1247
V1 0.7222 0.7222 0.4443
Ti1 0.1563 0.1563 0.3125
Ti2 0.8437 0.8437 0.6875
V2 0.2778 0.2778 0.5557
Mg2 0.4377 0.4377 0.8753

Values from the calculation:
The value obtained for the size of the total moment is 0.00 μB per cell. The density of states at the Fermi level comes out at 3.064 states/eV/f.u. As for the space group: No. 139.

Relative stability in meV/atom, measured from the most stable structure: w 151; x 0

w | Here is a relaxed structure of MgTi3W from the Alexandria database. Energies are from PBE.

Unit cell a=4.8303 b=4.8303 c=4.8303 alpha=90.00 beta=90.00 gamma=90.00
Each line ends with the local moment (μB).
Sites, in units of the cell vectors:
W1 0.0000 0.0000 0.0000  -0.05
Ti1 0.5000 0.0000 0.0000  0.35
Ti2 0.0000 0.5000 0.0000  0.19
Mg1 0.5000 0.5000 0.5000  0.00
Ti3 0.0000 0.0000 0.5000  0.09

Values from the calculation:
The value obtained for the size of the total moment is 0.82 μB per cell. The density of states at the Fermi level comes out at 9.826 states/eV/f.u. As for the space group: No. 221.

x | Here is a relaxed structure of MgTi3W from the Alexandria database. Energies are from PBE.

Unit cell a=4.5976 b=4.5976 c=4.5976 alpha=90.00 beta=90.00 gamma=90.00
Each line ends with the local moment (μB).
Sites, in units of the cell vectors:
Ti1 0.0000 0.0000 0.5000  0.20
Ti2 0.5000 0.0000 0.0000  0.34
W1 0.5000 0.5000 0.5000  0.28
Mg1 0.0000 0.0000 0.0000  0.04
Ti3 0.0000 0.5000 0.0000  0.24

Values from the calculation:
The value obtained for the size of the total moment is 1.49 μB per cell. The density of states at the Fermi level comes out at 6.574 states/eV/f.u. As for the space group: No. 221.

Relative stability in meV/atom, measured from the most stable structure: w 0; x 904

w | Here is a relaxed structure of Mg14TiW from the Alexandria database. Energies are from PBE.

Unit cell a=6.2645 b=6.2645 c=10.0049 alpha=90.00 beta=90.00 gamma=120.00
Each line ends with the local moment (μB).
Sites, in units of the cell vectors:
Mg1 0.1586 0.8414 0.2575  0.00
Mg2 0.6829 0.8414 0.7425  0.00
Mg3 0.1586 0.8414 0.7425  0.00
Mg4 0.5003 0.4997 0.5000  0.00
Mg5 0.6667 0.3333 0.2450  0.00
Mg6 0.9994 0.4997 0.5000  0.00
Mg7 0.6667 0.3333 0.7550  0.00
Mg8 0.0055 0.5027 0.0000  0.00
Mg9 0.6829 0.8414 0.2575  0.00
Mg10 0.4973 0.9945 0.0000  0.00
Ti1 0.0000 0.0000 0.0000  1.34
Mg11 0.5003 0.0006 0.5000  0.00
Mg12 0.1586 0.3171 0.2575  0.00
Mg13 0.1586 0.3171 0.7425  0.00
Mg14 0.4973 0.5027 0.0000  0.00
W1 0.0000 0.0000 0.5000  0.34

Values from the calculation:
The value obtained for the size of the total moment is 2.31 μB per cell. The density of states at the Fermi level comes out at 9.755 states/eV/f.u. As for the space group: No. 187.

x | Here is a relaxed structure of Mg14TiW from the Alexandria database. Energies are from PBE.

Unit cell a=6.2980 b=6.2980 c=10.1120 alpha=90.00 beta=90.00 gamma=122.46
Sites, in units of the cell vectors:
Mg1 0.3312 0.1733 0.5000
Mg2 0.6613 0.8311 0.7365
W1 0.3272 0.6728 0.5000
Mg3 0.8267 0.6688 0.5000
Mg4 0.6613 0.8311 0.2635
Mg5 0.8321 0.6700 0.0000
Mg6 0.1756 0.8244 0.2625
Mg7 0.8336 0.1664 0.0000
Ti1 0.8280 0.1720 0.5000
Mg8 0.1756 0.8244 0.7375
Mg9 0.3315 0.6685 0.0000
Mg10 0.1689 0.3387 0.2635
Mg11 0.6741 0.3259 0.7473
Mg12 0.1689 0.3387 0.7365
Mg13 0.6741 0.3259 0.2527
Mg14 0.3300 0.1679 0.0000

Values from the calculation:
The value obtained for the size of the total moment is 0.02 μB per cell. The density of states at the Fermi level comes out at 9.980 states/eV/f.u. As for the space group: No. 38.

Relative stability in meV/atom, measured from the most stable structure: w 38; x 0

w | Here is a relaxed structure of YMg2Ti2 from the Alexandria database. Energies are from PBE.

Unit cell a=8.2872 b=8.2872 c=3.1862 alpha=90.00 beta=90.00 gamma=90.00
Sites, in units of the cell vectors:
Y1 0.0000 0.0000 0.0000
Ti1 0.3304 0.1696 0.5000
Ti2 0.6696 0.8304 0.5000
Y2 0.5000 0.5000 0.0000
Ti3 0.1696 0.6696 0.5000
Mg1 0.3727 0.8727 0.0000
Mg2 0.8727 0.6273 0.0000
Mg3 0.1273 0.3727 0.0000
Ti4 0.8304 0.3304 0.5000
Mg4 0.6273 0.1273 0.0000

Values from the calculation:
The value obtained for the size of the total moment is 0.00 μB per cell. The density of states at the Fermi level comes out at 6.235 states/eV/f.u. As for the space group: No. 127.

x | Here is a relaxed structure of YMg2Ti2 from the Alexandria database. Energies are from PBE.

Unit cell a=3.7890 b=3.7890 c=8.4596 alpha=77.06 beta=77.06 gamma=90.00
Each line ends with the local moment (μB).
Sites, in units of the cell vectors:
Y1 0.0000 0.0000 0.0000  0.18
Mg1 0.6071 0.6071 0.7857  0.00
Ti1 0.7500 0.2500 0.5000  0.08
Ti2 0.2500 0.7500 0.5000  0.08
Mg2 0.3929 0.3929 0.2143  0.00

Values from the calculation:
The value obtained for the size of the total moment is 0.65 μB per cell. The density of states at the Fermi level comes out at 5.408 states/eV/f.u. As for the space group: No. 139.

Relative stability in meV/atom, measured from the most stable structure: w 0; x 39

w | Here is a relaxed structure of YMg6Ti from the Alexandria database. Energies are from PBE.

Unit cell a=6.5176 b=6.5176 c=5.1148 alpha=90.00 beta=90.00 gamma=119.98
Each line ends with the local moment (μB).
Sites, in units of the cell vectors:
Mg1 0.1796 0.3465 0.0000  0.00
Mg2 0.3348 0.1721 0.5000  0.00
Mg3 0.6535 0.8204 0.0000  0.00
Ti1 0.3337 0.6663 0.5000  1.28
Mg4 0.6649 0.3351 0.0000  0.00
Y1 0.1697 0.8303 0.0000  0.14
Mg5 0.8360 0.1640 0.5000  0.00
Mg6 0.8279 0.6652 0.5000  0.00

Values from the calculation:
The value obtained for the size of the total moment is 1.93 μB per cell. The density of states at the Fermi level comes out at 7.683 states/eV/f.u. As for the space group: No. 38.

x | Here is a relaxed structure of YMg6Ti from the Alexandria database. Energies are from PBE.

Unit cell a=6.4818 b=6.4818 c=4.4015 alpha=90.00 beta=90.00 gamma=90.01
Each line ends with the local moment (μB).
Sites, in units of the cell vectors:
Mg1 0.8622 0.1378 0.0000  0.01
Ti1 0.6250 0.3750 0.5000  1.33
Mg2 0.8621 0.6121 0.0000  0.01
Mg3 0.6250 0.8750 0.5000  0.00
Mg4 0.1250 0.3750 0.5000  0.00
Mg5 0.3877 0.6123 0.0000  0.01
Mg6 0.3879 0.1379 0.0000  0.01
Y1 0.1251 0.8749 0.5000  0.06

Values from the calculation:
The value obtained for the size of the total moment is 2.26 μB per cell. The density of states at the Fermi level comes out at 7.244 states/eV/f.u. As for the space group: No. 123.

Relative stability in meV/atom, measured from the most stable structure: w 53; x 0